# K2LiTiO, optimized geometry, DFT GGA-PBE
# E_form (uncorrected) ... 1.14 eV per atom
# Total magnetic moment ... 0.754 μB per atom
# DFT total energy ... -2.26 eV/atom
data_K2LiTiO
_chemical_formula_sum 'K2 Li1 Ti1 O1'
_symmetry_space_group_name_H-M 'P 1'
_symmetry_Int_Tables_number 1
_symmetry_space_group_name_Hall 'P 1'
_cell_length_a 6.6583
_cell_length_b 5.1402
_cell_length_c 6.6583
_cell_angle_alpha 90.00
_cell_angle_beta 90.00
_cell_angle_gamma 90.00
loop_
_atom_site_label
_atom_site_fract_x
_atom_site_fract_y
_atom_site_fract_z
Ti1 0.0000 0.0000 0.0000
K1 0.5000 0.0000 0.0000
K2 0.0000 0.0000 0.5000
Li1 0.0000 0.5000 0.0000
O1 0.5000 0.5000 0.5000